# FeAsPC

An optimized crystal structure of FeAsPC (PBE, the Alexandria database).

The value obtained for the formation energy is 0.1883 eV/atom. The calculation puts the energy above the most stable polymorph in this dataset at 4 meV per atom. For the size of the total moment, the calculation gives 0.000 μB per cell.

It has space group Pmm2 (No. 25), with a = 2.926 Å, b = 3.028 Å, c = 5.719 Å, α = 90.00°, β = 90.00° and γ = 90.00°. The inequivalent atoms are Fe at (0.000, 0.000, 0.000), As at (0.500, 0.000, 0.697), P at (0.000, 0.500, 0.267) and C at (0.500, 0.500, 0.468).



# BeTeH

An optimized crystal structure of BeTeH (PBE, the Alexandria database).

The calculation puts the energy above the most stable polymorph in this dataset at 12 meV per atom. For the size of the total moment, the calculation gives 0.000 μB per cell.

It has space group Cm (No. 8), with a = 5.471 Å, b = 5.584 Å, c = 9.408 Å, α = 90.00°, β = 104.64° and γ = 90.00°. The inequivalent atoms are Be at (0.000, 0.249, 0.000), Te at (0.176, 0.500, 0.831), Te at (0.325, 0.000, 0.169), H at (0.071, 0.000, 0.482) and H at (0.466, 0.500, 0.521).



# Sm6Er8Al

An optimized crystal structure of Sm6Er8Al (PBE, the Alexandria database).

The value obtained for the formation energy is 0.0826 eV/atom. For the size of the total moment, the calculation gives 0.000 μB per cell.

It has space group P-3 (No. 147), with a = 9.4201 Å, b = 9.4201 Å, c = 6.1851 Å, α = 90.00°, β = 90.00° and γ = 120.00°. The inequivalent atoms are Sm at (0.0905, 0.4548, 0.3058), Er at (0.0400, 0.2580, 0.7993), Er at (0.3333, 0.6667, 0.8093) and Al at (0.0000, 0.0000, 0.5000).



# BeCdMo4

An optimized crystal structure of BeCdMo4 (PBE, the Alexandria database).

The value obtained for the formation energy is 0.6929 eV/atom. For the size of the total moment, the calculation gives 0.000 μB per cell.

It has space group F-43m (No. 216), with a = 7.423 Å, b = 7.423 Å, c = 7.423 Å, α = 90.00°, β = 90.00° and γ = 90.00°. The inequivalent atoms are Be at (0.000, 0.000, 0.000), Cd at (0.250, 0.250, 0.250) and Mo at (0.125, 0.125, 0.625).



# KGa3Tc

An optimized crystal structure of KGa3Tc (PBE, the Alexandria database).

The value obtained for the formation energy is -0.1019 eV/atom. The calculation puts the energy above the most stable polymorph in this dataset at 75 meV per atom. For the size of the total moment, the calculation gives 0.000 μB per cell.

It has space group C2/m (No. 12), with a = 12.634 Å, b = 6.708 Å, c = 5.157 Å, α = 90.00°, β = 95.74° and γ = 90.00°. The inequivalent atoms are K at (0.145, 0.000, 0.497), Ga at (0.000, 0.196, 0.000), Ga at (0.093, 0.500, 0.398), Ga at (0.250, 0.250, 0.000) and Tc at (0.107, 0.500, 0.892).



# Cs3AuBrCl

An optimized crystal structure of Cs3AuBrCl (PBE, the Alexandria database).

The total DFT energy (no corrections) comes out at -2.875 eV/atom. For the size of the total moment, the calculation gives 0.000 μB per cell.

It has space group P2_1/m (No. 11), with a = 8.885 Å, b = 4.951 Å, c = 13.737 Å, α = 90.00°, β = 102.13° and γ = 90.00°. The inequivalent atoms are Cs at (0.046, 0.250, 0.154), Cs at (0.258, 0.250, 0.494), Cs at (0.447, 0.750, 0.843), Au at (0.353, 0.750, 0.298), Br at (0.132, 0.750, 0.640) and Cl at (0.234, 0.250, 0.952).



# Tb2HfTl

An optimized crystal structure of Tb2HfTl (PBE, the Alexandria database).

The value obtained for the formation energy is -0.0839 eV/atom. The calculation puts the energy above the most stable polymorph in this dataset at 0 meV per atom. For the size of the total moment, the calculation gives 0.000 μB per cell.

It has space group P4/mmm (No. 123), with a = 3.413 Å, b = 3.413 Å, c = 9.324 Å, α = 90.00°, β = 90.00° and γ = 90.00°. The inequivalent atoms are Tb at (0.000, 0.000, 0.248), Hf at (0.500, 0.500, 0.000) and Tl at (0.500, 0.500, 0.500).



# Sn2PbAu4

An optimized crystal structure of Sn2PbAu4 (PBE, the Alexandria database).

The value obtained for the formation energy is -0.0903 eV/atom. For the size of the total moment, the calculation gives 0.000 μB per cell.

It has space group P2_1/c (No. 14), with a = 5.080 Å, b = 7.107 Å, c = 17.821 Å, α = 90.00°, β = 91.93° and γ = 90.00°. The inequivalent atoms are Sn at (0.150, 0.237, 0.464), Sn at (0.166, 0.003, 0.713), Pb at (0.271, 0.003, 0.141), Au at (0.311, 0.640, 0.467), Au at (0.313, 0.713, 0.813), Au at (0.315, 0.209, 0.313) and Au at (0.373, 0.509, 0.071).